Nb2ReOsN (GGA-PBE, relaxed); energy = -39.684 eV per cell; symmetry = P4/mmm; formation energy without anion corrections = 12.459 eV/f.u.
1.0
4.893 0.000 0.000
0.000 4.893 0.000
0.000 0.000 4.637
Nb Re Os N
2 1 1 1
Direct
0.000 0.500 0.000
0.500 0.000 0.000
0.000 0.000 0.000
0.000 0.000 0.500
0.500 0.500 0.500